# GGA-PBE CsRbCd2, optimized geometry
data_CsRbCd2
_chemical_formula_sum 'Cs2 Rb2 Cd4'
_cell_length_a 5.2364
_cell_length_b 8.8513
_cell_length_c 9.6232
_cell_angle_alpha 90.00
_cell_angle_beta 105.59
_cell_angle_gamma 90.00
_space_group_name_H-M_alt 'P 1 21/m 1'
_space_group_IT_number 11
loop_
_space_group_symop_operation_xyz
'x,y,z'
'-x,-y,-z'
'-x,y+1/2,-z'
'x,-y+1/2,z'
loop_
_atom_site_label
_atom_site_fract_x
_atom_site_fract_y
_atom_site_fract_z
Cs1 0.1111 0.2500 0.2183
Rb1 0.3773 0.2500 0.7576
Cd1 0.2505 0.5819 0.5010
# V = 53.7 Å³/atom
# ΔE to the lowest computed polymorph = 0 meV/atom
# E = -7.76 eV for the cell shown


# GGA-PBE CsRbCd, optimized geometry
data_CsRbCd
_chemical_formula_sum 'Cs4 Rb4 Cd4'
_cell_length_a 9.3571
_cell_length_b 9.3571
_cell_length_c 9.3571
_cell_angle_alpha 90.00
_cell_angle_beta 90.00
_cell_angle_gamma 90.00
_space_group_name_H-M_alt 'F -4 3 m'
_space_group_IT_number 216
_space_group_name_Hall 'F -4 2 3'
loop_
_atom_site_label
_atom_site_fract_x
_atom_site_fract_y
_atom_site_fract_z
Cs1 0.0000 0.0000 0.0000
Rb1 0.2500 0.2500 0.2500
Cd1 0.2500 0.2500 0.7500
# V = 68.3 Å³/atom
# ΔE to the lowest computed polymorph = 15 meV/atom
# E = -8.71 eV for the cell shown


# GGA-PBE CsRbCd4, optimized geometry
data_CsRbCd4
_chemical_formula_sum 'Cs2 Rb2 Cd8'
_cell_length_a 5.4582
_cell_length_b 8.7721
_cell_length_c 9.0530
_cell_angle_alpha 90.00
_cell_angle_beta 90.00
_cell_angle_gamma 90.00
_space_group_name_H-M_alt 'I m m 2'
_space_group_IT_number 44
loop_
_space_group_symop_operation_xyz
'x,y,z'
'-x,-y,z'
'-x,y,z'
'x,-y,z'
'x+1/2,y+1/2,z+1/2'
'-x+1/2,-y+1/2,z+1/2'
'-x+1/2,y+1/2,z+1/2'
'x+1/2,-y+1/2,z+1/2'
loop_
_atom_site_label
_atom_site_fract_x
_atom_site_fract_y
_atom_site_fract_z
Cs1 0.0000 0.0000 0.0000
Rb1 0.0000 0.5000 0.8787
Cd1 0.0000 0.1760 0.6008
Cd2 0.0000 0.3211 0.2722
# V = 36.1 Å³/atom
# E = -11.48 eV for the cell shown